1.
VASP calculation (PBE) on CsSiI2O8 after structural relaxation.

Computed properties:
- Formation energy without anion corrections: -0.8727 eV per atom
- N(E_F): 11.35 states/eV/cell
- Total magnetization: 0.9 μB/f.u.

abc: 9.077 6.326 8.403
angles: 90.00 122.59 90.00
Space group C2/m (No. 12)
Asymmetric unit:
Cs: 0.000 0.000 0.000
Si: 0.000 0.500 0.500
I: 0.203 0.000 0.647
O: 0.059 0.000 0.386
O: 0.076 0.500 0.331
O: 0.168 0.314 0.651



2.
VASP calculation (PBE) on PaCoSiN after structural relaxation.

Computed properties:
- Formation energy without anion corrections: -1.0456 eV per atom
- N(E_F): 5.57 states/eV/cell
- Total magnetization: 0.0 μB/f.u.

abc: 3.710 3.710 7.991
angles: 90.00 90.00 90.00
Space group P4/nmm (No. 129, origin choice 2)
Asymmetric unit:
Pa: 0.250 0.250 0.166
Co: 0.250 0.750 0.500
Si: 0.250 0.250 0.651
N: 0.250 0.250 0.877



3.
VASP calculation (PBE) on Cs2CrSnBr6 after structural relaxation.

Computed properties:
- Energy above the lowest structure with this stoichiometry: 11.5 meV per atom
- Formation energy without anion corrections: -1.1488 eV per atom
- N(E_F): 0.83 states/eV/cell
- Total magnetization: 4.0 μB/f.u.

abc: 5.696 5.696 11.118
angles: 90.00 90.00 90.00
Space group P4/mmm (No. 123)
Asymmetric unit:
Cs: 0.000 0.000 0.231
Cr: 0.500 0.500 0.000
Sn: 0.500 0.500 0.500
Br: 0.000 0.500 0.000
Br: 0.000 0.500 0.500
Br: 0.500 0.500 0.231



4.
VASP calculation (PBE) on Pr2Cd3Pt2 after structural relaxation.

Computed properties:
- Energy above the lowest structure with this stoichiometry: 33.9 meV per atom
- N(E_F): 6.33 states/eV/cell
- Total magnetization: 0.0 μB/f.u.
- Energy of formation from the pure elements: -0.670 eV/atom

abc: 10.583 4.110 7.743
angles: 90.00 95.06 90.00
Space group C2/m (No. 12)
Asymmetric unit:
Pr: 0.124 0.000 0.349
Cd: 0.000 0.500 0.000
Cd: 0.186 0.000 0.874
Pt: 0.094 0.500 0.639



5.
VASP calculation (PBE) on Rb3Ta2PbO8 after structural relaxation.

Computed properties:
- Formation energy without anion corrections: -2.1332 eV per atom
- N(E_F): 4.14 states/eV/cell
- Total magnetization: 0.0 μB/f.u.

abc: 6.3404 6.3404 8.0953
angles: 90.00 90.00 120.00
Space group P-3m1 (No. 164)
Asymmetric unit:
Rb: 0.0000 0.0000 0.0000
Rb: 0.3333 0.6667 0.6901
Ta: 0.3333 0.6667 0.2433
Pb: 0.0000 0.0000 0.5000
O: 0.1711 0.3422 0.3209
O: 0.3333 0.6667 0.0192



6.
VASP calculation (PBE) on CrCu2NiH after structural relaxation.

Computed properties:
- N(E_F): 2.73 states/eV/cell
- Total energy: -26.01 eV per cell
- Total magnetization: 3.8 μB/f.u.

abc: 3.673 3.673 3.813
angles: 90.00 90.00 90.00
Space group P4/mmm (No. 123)
Asymmetric unit:
Cr: 0.000 0.000 0.000
Cu: 0.000 0.500 0.500
Ni: 0.500 0.500 0.000
H: 0.000 0.000 0.500